Record 1
The following is a GGA-PBE calculation of a relaxed AlMoSe2 crystal, from the Alexandria database.

## Properties
**VASP energy**: -76.90 eV/cell
**Total moment**: 3.54 μB/cell

Cell lengths 6.560, 6.560, 6.560 Å; angles 90.00, 90.00, 90.00 degrees
Space group F-43m (No. 216)
One atom of each set of equivalent atoms:
Al1 0.000 0.000 0.000 x4
Mo1 0.250 0.250 0.250 x4
Se1 0.000 0.000 0.500 x4
Se2 0.250 0.250 0.750 x4

***

Record 2
The following is a GGA-PBE calculation of a relaxed AlMoSe3 crystal, from the Alexandria database.

## Properties
**Excess energy over the best structure of this formula in the dataset**: 0.0000 eV/atom
**Total moment**: 0.00 μB/cell

Cell lengths 4.975, 4.975, 4.975 Å; angles 90.00, 90.00, 90.00 degrees
Space group Pm-3m (No. 221)
One atom of each set of equivalent atoms:
Al1 0.000 0.000 0.000 x1
Mo1 0.500 0.500 0.500 x1
Se1 0.000 0.500 0.500 x3

***

Record 3
The following is a GGA-PBE calculation of a relaxed AlMoSe2 crystal, from the Alexandria database.

## Properties
**VASP energy**: -44.45 eV/cell
**Total moment**: 3.38 μB/cell

Cell lengths 3.697, 3.914, 13.155 Å; angles 90.00, 90.00, 90.00 degrees
Space group Immm (No. 71)
One atom of each set of equivalent atoms:
Al1 0.000 0.000 0.000 x2
Mo1 0.000 0.000 0.500 x2
Se1 0.000 0.500 0.365 x4

***

Record 4
The following is a GGA-PBE calculation of a relaxed AlMoSe2 crystal, from the Alexandria database.

## Properties
**VASP energy**: -20.18 eV/cell
**Total moment**: 1.03 μB/cell

Cell lengths 3.415, 3.921, 5.551 Å; angles 90.00, 90.00, 90.00 degrees
Space group Pmmm (No. 47)
One atom of each set of equivalent atoms:
Al1 0.000 0.000 0.000 x1
Mo1 0.500 0.000 0.500 x1
Se1 0.000 0.500 0.500 x1
Se2 0.500 0.500 0.000 x1

***

Record 5
The following is a GGA-PBE calculation of a relaxed AlMoSe2 crystal, from the Alexandria database.

## Properties
**VASP energy**: -21.76 eV/cell
**Total moment**: 0.00 μB/cell

Cell lengths 3.419, 4.951, 4.730 Å; angles 90.00, 111.17, 90.00 degrees
Space group Pm (No. 6)
One atom of each set of equivalent atoms:
Al1 0.000 0.000 0.000 x1
Mo1 0.404 0.500 0.803 x1
Se1 0.298 0.000 0.595 x1
Se2 0.694 0.500 0.383 x1

***

Record 6
The following is a GGA-PBE calculation of a relaxed AlMoSe2 crystal, from the Alexandria database.

## Properties
**VASP energy**: -62.80 eV/cell
**Total moment**: 0.00 μB/cell

Cell lengths 3.4257, 3.4257, 23.9592 Å; angles 90.00, 90.00, 120.00 degrees
Space group R-3m (No. 166, hexagonal axes)
One atom of each set of equivalent atoms:
Al1 0.0000 0.0000 0.0000 x3
Mo1 0.0000 0.0000 0.5000 x3
Se1 0.0000 0.0000 0.3971 x6

***

Record 7
The following is a GGA-PBE calculation of a relaxed Al2TeMoSe crystal, from the Alexandria database.

## Properties
**VASP energy**: -22.89 eV/cell
**Total moment**: 0.00 μB/cell

Cell lengths 5.169, 5.169, 4.654 Å; angles 90.00, 90.00, 90.00 degrees
Space group P4/mmm (No. 123)
One atom of each set of equivalent atoms:
Al1 0.000 0.500 0.000 x2
Te1 0.000 0.000 0.500 x1
Mo1 0.500 0.500 0.000 x1
Se1 0.500 0.500 0.500 x1

***

Record 8
The following is a GGA-PBE calculation of a relaxed Al2TlMoSe crystal, from the Alexandria database.

## Properties
**VASP energy**: -20.30 eV/cell
**Total moment**: 2.63 μB/cell

Cell lengths 4.994, 4.994, 5.440 Å; angles 90.00, 90.00, 90.00 degrees
Space group P4/mmm (No. 123)
One atom of each set of equivalent atoms:
Al1 0.000 0.500 0.000 x2
Tl1 0.000 0.000 0.500 x1
Mo1 0.000 0.000 0.000 x1
Se1 0.500 0.500 0.500 x1

***

Record 9
The following is a GGA-PBE calculation of a relaxed Al2ZnMoSe crystal, from the Alexandria database.

## Properties
**VASP energy**: -17.90 eV/cell
**Total moment**: 4.00 μB/cell

Cell lengths 4.602, 4.602, 5.260 Å; angles 90.00, 90.00, 90.00 degrees
Space group P4/mmm (No. 123)
One atom of each set of equivalent atoms:
Al1 0.000 0.500 0.000 x2
Zn1 0.000 0.000 0.000 x1
Mo1 0.500 0.500 0.500 x1
Se1 0.000 0.000 0.500 x1

***

Record 10
The following is a GGA-PBE calculation of a relaxed AlSi2Mo crystal, from the Alexandria database.

## Properties
**VASP energy**: -25.12 eV/cell
**Total moment**: 0.00 μB/cell

Cell lengths 4.194, 4.194, 3.261 Å; angles 90.00, 90.00, 90.00 degrees
Space group P4/mmm (No. 123)
One atom of each set of equivalent atoms:
Al1 0.000 0.000 0.000 x1
Si1 0.000 0.500 0.500 x2
Mo1 0.500 0.500 0.000 x1

***

Record 11
The following is a GGA-PBE calculation of a relaxed AlSiMo2 crystal, from the Alexandria database.

## Properties
**Excess energy over the best structure of this formula in the dataset**: 0.3267 eV/atom
**Total moment**: 0.00 μB/cell

Cell lengths 5.378, 7.886, 2.786 Å; angles 90.00, 90.00, 90.00 degrees
Space group Cmmm (No. 65)
One atom of each set of equivalent atoms:
Al1 0.000 0.000 0.000 x2
Si1 0.000 0.500 0.000 x2
Mo1 0.250 0.250 0.500 x4

***

Record 12
The following is a GGA-PBE calculation of a relaxed Al2Si2Mo crystal, from the Alexandria database.

## Properties
**VASP energy**: -59.20 eV/cell
**Total moment**: 0.00 μB/cell

Cell lengths 6.472, 6.472, 3.604 Å; angles 90.00, 90.00, 90.00 degrees
Space group P4/mbm (No. 127)
One atom of each set of equivalent atoms:
Al1 0.171 0.329 0.000 x4
Si1 0.132 0.632 0.500 x4
Mo1 0.000 0.000 0.500 x2

***

Please write out number 2 again, unchanged.
The following is a GGA-PBE calculation of a relaxed AlMoSe3 crystal, from the Alexandria database.

## Properties
**Excess energy over the best structure of this formula in the dataset**: 0.0000 eV/atom
**Total moment**: 0.00 μB/cell

Cell lengths 4.975, 4.975, 4.975 Å; angles 90.00, 90.00, 90.00 degrees
Space group Pm-3m (No. 221)
One atom of each set of equivalent atoms:
Al1 0.000 0.000 0.000 x1
Mo1 0.500 0.500 0.500 x1
Se1 0.000 0.500 0.500 x3

***

Please write out number 12 again, unchanged.
The following is a GGA-PBE calculation of a relaxed Al2Si2Mo crystal, from the Alexandria database.

## Properties
**VASP energy**: -59.20 eV/cell
**Total moment**: 0.00 μB/cell

Cell lengths 6.472, 6.472, 3.604 Å; angles 90.00, 90.00, 90.00 degrees
Space group P4/mbm (No. 127)
One atom of each set of equivalent atoms:
Al1 0.171 0.329 0.000 x4
Si1 0.132 0.632 0.500 x4
Mo1 0.000 0.000 0.500 x2

***

> Which value of total moment does entry 6 give?

0.00 μB/cell

***

> Among the records above, which one has the highest total moment?

Al2ZnMoSe